[1]
PBE BaMgSn2Pb, relaxed; energy of formation = -0.36 eV/atom
1.0
5.010 0.000 0.000
0.000 5.010 0.000
-2.505 -2.505 6.586
Ba Mg Sn Pb
1 1 2 1
Direct
0.000 0.000 0.000
0.750 0.250 0.500
0.613 0.613 0.227
0.387 0.387 0.773
0.250 0.750 0.500

=====

[2]
PBE Bi2P3Se9, relaxed; polymorph energy (0 for the lowest one) = 0 meV/atom; ΔE_f (raw) = -192 meV per atom
1.0
7.631 0.000 0.000
0.000 9.620 0.045
0.000 -0.436 21.844
Bi P Se
8 12 36
Direct
0.806 0.762 0.151
0.306 0.738 0.349
0.194 0.238 0.849
0.694 0.262 0.651
0.929 0.762 0.836
0.429 0.738 0.664
0.071 0.238 0.164
0.571 0.262 0.336
0.940 0.476 0.047
0.440 0.024 0.453
0.060 0.524 0.953
0.560 0.976 0.547
0.049 0.428 0.351
0.549 0.072 0.149
0.951 0.572 0.649
0.451 0.928 0.851
0.169 0.439 0.688
0.669 0.061 0.812
0.831 0.561 0.312
0.331 0.939 0.188
0.730 0.454 0.230
0.051 0.231 0.704
0.449 0.731 0.204
0.949 0.769 0.296
0.870 0.049 0.887
0.370 0.451 0.613
0.130 0.951 0.113
0.630 0.549 0.387
0.250 0.930 0.778
0.750 0.570 0.722
0.750 0.070 0.222
0.551 0.269 0.796
0.569 0.726 0.875
0.069 0.774 0.625
0.431 0.274 0.125
0.931 0.226 0.375
0.356 0.052 0.931
0.856 0.448 0.569
0.644 0.948 0.069
0.144 0.552 0.431
0.602 0.748 0.548
0.102 0.752 0.952
0.398 0.252 0.452
0.898 0.248 0.048
0.374 0.045 0.618
0.874 0.455 0.882
0.626 0.955 0.382
0.126 0.545 0.118
0.807 0.098 0.550
0.307 0.402 0.950
0.193 0.902 0.450
0.693 0.598 0.050
0.270 0.546 0.770
0.770 0.954 0.730
0.250 0.430 0.278
0.230 0.046 0.270

=====

[3]
PBE Ir2Br, relaxed; polymorph energy (0 for the lowest one) = 999 meV/atom; ΔE_f (raw) = 1355 meV per atom
1.0
2.232 -3.865 0.000
2.232 3.865 0.000
0.000 0.000 5.659
Ir Br
4 2
Direct
0.000 0.000 0.000
0.000 0.000 0.500
0.333 0.667 0.750
0.667 0.333 0.250
0.333 0.667 0.250
0.667 0.333 0.750

=====

[4]
PBE Na5Re2N5, relaxed; ΔE_f (raw) = -99 meV per atom
1.0
-2.193 -1.605 -1.115
-1.773 -3.477 4.628
-8.396 4.029 6.850
Na Re N
5 2 5
Direct
0.500 0.500 0.500
0.338 0.239 0.086
0.283 0.094 0.340
0.717 0.906 0.660
0.662 0.761 0.914
0.938 0.291 0.833
0.062 0.709 0.167
0.964 0.766 0.306
0.316 0.550 0.818
0.684 0.450 0.182
0.036 0.234 0.694
0.000 0.000 0.000

=====

[5]
PBE Ca3TlP2Pd9, relaxed; energy of formation = -0.60 eV/atom
1.0
-3.839 0.112 4.753
3.759 -4.755 -0.780
6.945 4.588 5.500
Ca Tl P Pd
3 1 2 9
Direct
0.333 0.667 0.725
0.000 0.000 0.000
0.667 0.333 0.275
0.000 0.000 0.500
0.333 0.667 0.155
0.667 0.333 0.845
0.849 0.151 0.727
0.849 0.698 0.727
0.302 0.151 0.727
0.698 0.849 0.273
0.151 0.302 0.273
0.151 0.849 0.273
0.500 0.000 0.000
0.000 0.500 0.000
0.500 0.500 0.000

=====

[6]
PBE Tm5Ga2Hg, relaxed; polymorph energy (0 for the lowest one) = 0 meV/atom; energy of formation = -0.47 eV/atom
1.0
-4.288 2.402 -5.649
-3.698 -6.511 0.038
-0.741 4.770 7.553
Tm Ga Hg
10 4 2
Direct
0.524 0.685 0.710
0.815 0.976 0.290
0.000 0.000 0.000
0.500 0.500 0.000
0.185 0.024 0.710
0.685 0.185 0.710
0.024 0.524 0.710
0.315 0.815 0.290
0.976 0.476 0.290
0.476 0.315 0.290
0.123 0.377 0.000
0.623 0.123 0.000
0.377 0.877 0.000
0.877 0.623 0.000
0.750 0.750 0.500
0.250 0.250 0.500

=====

[7]
PBE Ac2PmY5, relaxed; energy of formation = 0.04 eV/atom
1.0
-4.944 -2.274 5.007
-5.544 -4.527 -7.529
7.600 -12.412 1.868
Ac Pm Y
8 4 20
Direct
0.753 0.000 0.500
0.247 0.500 0.000
0.247 0.000 0.500
0.753 0.500 0.000
0.500 0.741 0.629
0.500 0.259 0.371
0.500 0.759 0.129
0.500 0.241 0.871
0.000 0.241 0.872
0.000 0.759 0.128
0.000 0.259 0.372
0.000 0.741 0.628
0.755 0.000 0.000
0.245 0.500 0.500
0.245 0.000 0.000
0.755 0.500 0.500
0.000 0.253 0.626
0.000 0.747 0.374
0.000 0.247 0.126
0.000 0.753 0.874
0.500 0.254 0.624
0.500 0.746 0.376
0.500 0.246 0.124
0.500 0.754 0.876
0.755 0.495 0.749
0.755 0.505 0.251
0.245 0.005 0.249
0.245 0.995 0.751
0.245 0.505 0.251
0.245 0.495 0.749
0.755 0.995 0.751
0.755 0.005 0.249

=====

[8]
PBE ZrHgAu2, relaxed; energy of formation = -0.21 eV/atom
1.0
4.508 0.000 0.000
0.000 3.013 0.178
0.000 1.126 5.970
Au Hg Zr
2 1 1
Direct
0.000 0.200 0.978
0.500 0.058 0.263
0.000 0.446 0.480
0.500 0.796 0.780

=====

[9]
PBE Ba2LiZnAu, relaxed; polymorph energy (0 for the lowest one) = 16 meV/atom; energy of formation = -0.20 eV/atom
1.0
6.392 0.000 0.000
0.000 6.392 0.000
0.000 0.000 5.005
Zn Au Ba Li
1 1 2 1
Direct
0.000 0.000 0.500
0.000 0.000 0.000
0.000 0.500 0.000
0.500 0.000 0.000
0.500 0.500 0.500

=====

[10]
PBE TbCeScTl, relaxed; energy of formation = 0.02 eV/atom
1.0
5.282 0.000 0.000
2.641 4.574 0.000
2.641 1.525 4.312
Sc Tl Tb Ce
1 1 1 1
Direct
0.000 0.000 0.000
0.750 0.750 0.750
0.500 0.500 0.500
0.250 0.250 0.250

=====

[11]
PBE Cu8NiPt6, relaxed; polymorph energy (0 for the lowest one) = 0 meV/atom; energy of formation = -0.04 eV/atom
1.0
5.875 0.181 2.974
1.905 5.560 2.974
0.245 0.181 6.580
Cu Ni Pt
8 1 6
Direct
0.122 0.672 0.803
0.197 0.878 0.328
0.328 0.197 0.878
0.576 0.576 0.576
0.424 0.424 0.424
0.672 0.803 0.122
0.803 0.122 0.672
0.878 0.328 0.197
0.000 0.000 0.000
0.934 0.453 0.741
0.259 0.066 0.547
0.547 0.259 0.066
0.453 0.741 0.934
0.741 0.934 0.453
0.066 0.547 0.259

=====

[12]
PBE Cd2C, relaxed; polymorph energy (0 for the lowest one) = 527 meV/atom; energy of formation = 1.27 eV/atom
1.0
4.223 0.000 0.000
0.000 4.223 0.000
0.000 0.000 5.886
Cd C
4 2
Direct
0.000 0.000 0.000
0.500 0.500 0.000
0.500 0.000 0.401
0.000 0.500 0.599
0.500 0.000 0.779
0.000 0.500 0.221

=====

[13]
PBE YVPb3, relaxed; polymorph energy (0 for the lowest one) = 0 meV/atom; energy of formation = 0.30 eV/atom
1.0
-1.004 -4.950 1.583
4.346 0.084 3.021
-2.850 1.873 4.048
Pb Y V
3 1 1
Direct
0.000 0.500 0.000
0.000 0.000 0.500
0.500 0.000 0.000
0.500 0.500 0.500
0.000 0.000 0.000

=====

[14]
PBE LaGaSbRh3, relaxed; ΔE_f (raw) = -586 meV per atom
1.0
5.780 0.000 0.000
0.000 5.809 0.000
0.000 -2.905 7.978
La Ga Sb Rh
2 2 2 6
Direct
0.750 0.270 0.540
0.250 0.730 0.460
0.250 0.406 0.812
0.750 0.594 0.188
0.250 0.091 0.182
0.750 0.909 0.818
0.250 0.252 0.504
0.000 0.263 0.000
0.500 0.737 0.000
0.500 0.263 0.000
0.000 0.737 0.000
0.750 0.748 0.496

=====

[15]
PBE Y3Sc5Bi2, relaxed; energy of formation = -0.10 eV/atom
1.0
-1.734 -4.874 -3.396
3.056 1.606 -9.503
6.626 -7.451 1.672
Y Sc Bi
6 10 4
Direct
0.250 0.000 0.000
0.750 0.000 0.000
0.371 0.346 0.913
0.629 0.654 0.087
0.871 0.913 0.346
0.129 0.087 0.654
0.250 0.500 0.500
0.750 0.500 0.500
0.515 0.735 0.735
0.985 0.265 0.265
0.485 0.265 0.265
0.015 0.735 0.735
0.089 0.570 0.252
0.911 0.430 0.748
0.589 0.252 0.570
0.411 0.748 0.430
0.151 0.698 0.999
0.849 0.302 0.001
0.651 0.999 0.698
0.349 0.001 0.302

=====

[16]
PBE Be2NbRh2, relaxed; polymorph energy (0 for the lowest one) = 0 meV/atom; energy of formation = -0.50 eV/atom
1.0
6.684 0.000 0.000
0.000 6.684 0.000
0.000 0.000 2.785
Be Nb Rh
4 2 4
Direct
0.382 0.882 0.000
0.882 0.618 0.000
0.618 0.118 0.000
0.118 0.382 0.000
0.000 0.000 0.000
0.500 0.500 0.000
0.172 0.672 0.500
0.672 0.828 0.500
0.828 0.328 0.500
0.328 0.172 0.500

=====

[17]
PBE CoW2Se, relaxed; ΔE_f (raw) = 422 meV per atom
1.0
-1.545 -3.927 -1.488
3.368 -0.212 -2.937
1.610 -1.371 1.946
Co Se W
1 1 2
Direct
0.500 0.000 0.500
0.000 0.500 0.500
0.000 0.000 0.000
0.500 0.500 0.000

=====

[18]
PBE PuTl2OF5, relaxed; ΔE_f (raw) = -2487 meV per atom
1.0
6.408 0.020 0.029
-3.025 5.649 -0.029
-3.025 -2.039 5.269
Pu Tl O F
1 2 1 5
Direct
0.000 0.990 0.990
0.500 0.278 0.778
0.500 0.778 0.278
0.000 0.778 0.778
0.466 0.220 0.220
0.534 0.754 0.754
0.000 0.754 0.220
0.000 0.220 0.754
0.000 0.226 0.226

=====

[19]
PBE LaPmTe2, relaxed; polymorph energy (0 for the lowest one) = 23 meV/atom; ΔE_f (raw) = -1483 meV per atom
1.0
4.390 0.000 0.000
2.195 3.802 0.000
2.195 1.267 7.904
La Pm Te
1 1 2
Direct
0.671 0.671 0.986
0.496 0.496 0.513
0.085 0.085 0.746
0.248 0.248 0.255

=====

[20]
PBE Rb2Ag3Br8, relaxed; polymorph energy (0 for the lowest one) = 0 meV/atom; ΔE_f (raw) = -677 meV per atom
1.0
-1.422 4.994 -1.269
-4.262 -0.400 3.201
8.499 5.470 12.001
Rb Ag Br
2 3 8
Direct
0.000 0.000 0.191
0.000 0.000 0.809
0.500 0.500 0.351
0.500 0.500 0.000
0.500 0.500 0.649
0.500 0.000 0.352
0.000 0.500 0.352
0.000 0.500 0.000
0.500 0.500 0.167
0.500 0.000 0.648
0.000 0.500 0.648
0.500 0.500 0.833
0.500 0.000 0.000